FeCoPt2 GGA-PBEsol relaxed; total DFT energy (no corrections) = -7.79 eV per atom; space-group type = No. 25; calculated formation energy = -0.1357 eV per atom
1.0
2.670 0.000 0.000
0.000 4.275 0.000
0.000 0.000 4.596
Fe Co Pt
1 1 2
Direct
0.000 0.000 0.000
0.000 0.500 0.330
0.500 0.000 0.481
0.500 0.500 0.840

Mg3CuSe GGA-PBEsol relaxed; total DFT energy (no corrections) = -2.66 eV per atom; space-group type = No. 107; E_form (uncorrected) = 0.010 eV/atom
1.0
-2.046 2.046 6.678
2.046 -2.046 6.678
2.046 2.046 -6.678
Mg Cu Se
3 1 1
Direct
0.000 0.000 0.000
0.312 0.812 0.500
0.812 0.312 0.500
0.193 0.193 0.000
0.474 0.474 0.000

Ga2HgI GGA-PBEsol relaxed; total DFT energy (no corrections) = -2.14 eV per atom; space-group type = No. 225; E_form (uncorrected) = 0.116 eV/atom
1.0
0.000 3.702 3.702
3.702 0.000 3.702
3.702 3.702 0.000
Ga Hg I
2 1 1
Direct
0.250 0.250 0.250
0.750 0.750 0.750
0.000 0.000 0.000
0.500 0.500 0.500

ZnPI2 GGA-PBEsol relaxed; total DFT energy (no corrections) = -2.10 eV per atom; space-group type = No. 225; E_form (uncorrected) = 0.629 eV/atom
1.0
0.000 3.591 3.591
3.591 0.000 3.591
3.591 3.591 0.000
Zn P I
1 1 2
Direct
0.000 0.000 0.000
0.500 0.500 0.500
0.250 0.250 0.250
0.750 0.750 0.750

YBeOs2 GGA-PBEsol relaxed; total DFT energy (no corrections) = -8.34 eV per atom; space-group type = No. 139; calculated formation energy = 0.4744 eV per atom
1.0
-1.955 1.955 4.070
1.955 -1.955 4.070
1.955 1.955 -4.070
Y Be Os
1 1 2
Direct
0.000 0.000 0.000
0.500 0.500 0.000
0.250 0.750 0.500
0.750 0.250 0.500

Cu2ReAu GGA-PBEsol relaxed; total DFT energy (no corrections) = -6.14 eV per atom; space-group type = No. 6; calculated formation energy = 0.3457 eV per atom
1.0
2.599 0.000 0.000
0.000 4.123 0.000
-1.298 0.000 5.059
Cu Re Au
2 1 1
Direct
0.000 0.000 0.000
0.126 0.500 0.260
0.730 0.000 0.466
0.383 0.500 0.771

CaMoOs GGA-PBEsol relaxed; total DFT energy (no corrections) = -8.05 eV per atom; space-group type = No. 156; calculated formation energy = 0.6596 eV per atom
1.0
4.540 0.000 0.000
-2.270 3.932 0.000
0.000 0.000 2.849
Ca Mo Os
1 1 1
Direct
0.000 0.000 0.000
0.667 0.333 0.644
0.333 0.667 0.398

LuAsSe GGA-PBEsol relaxed; total DFT energy (no corrections) = -6.00 eV per atom; space-group type = No. 62; E_form (uncorrected) = -1.394 eV/atom
1.0
7.030 0.000 0.000
0.000 3.776 0.000
0.000 0.000 9.302
Lu As Se
4 4 4
Direct
0.219 0.250 0.161
0.281 0.750 0.661
0.719 0.250 0.339
0.781 0.750 0.839
0.106 0.250 0.459
0.394 0.750 0.959
0.606 0.250 0.041
0.894 0.750 0.541
0.084 0.250 0.848
0.416 0.750 0.348
0.584 0.250 0.652
0.916 0.750 0.152

Pb2AuS2 GGA-PBEsol relaxed; total DFT energy (no corrections) = -4.38 eV per atom; space-group type = No. 139; E_form (uncorrected) = -0.240 eV/atom
1.0
-2.892 2.892 3.820
2.892 -2.892 3.820
2.892 2.892 -3.820
Pb Au S
2 1 2
Direct
0.250 0.750 0.500
0.750 0.250 0.500
0.000 0.000 0.000
0.301 0.301 0.000
0.699 0.699 0.000

Cr2NiRh GGA-PBEsol relaxed; total DFT energy (no corrections) = -8.71 eV per atom; space-group type = No. 123; calculated formation energy = -0.0119 eV per atom
1.0
3.534 0.000 0.000
0.000 3.534 0.000
0.000 0.000 3.692
Cr Ni Rh
2 1 1
Direct
0.000 0.500 0.000
0.500 0.000 0.000
0.000 0.000 0.500
0.500 0.500 0.500

TiFeO3 GGA-PBEsol relaxed; total DFT energy (no corrections) = -8.71 eV per atom; space-group type = No. 2; E_form (uncorrected) = -2.105 eV/atom
1.0
5.316 0.000 0.000
1.695 5.222 0.000
1.657 1.803 4.968
Ti Fe O
2 2 6
Direct
0.084 0.254 0.412
0.916 0.746 0.588
0.432 0.567 0.755
0.568 0.433 0.245
0.173 0.906 0.653
0.238 0.466 0.532
0.322 0.314 0.097
0.678 0.686 0.903
0.762 0.534 0.468
0.827 0.094 0.347

Ta2AlSi GGA-PBEsol relaxed; total DFT energy (no corrections) = -8.95 eV per atom; space-group type = No. 8; E_form (uncorrected) = -0.219 eV/atom
1.0
4.816 -1.408 0.000
4.816 1.408 0.000
-0.942 0.000 4.639
Ta Al Si
2 1 1
Direct
0.000 0.000 0.000
0.222 0.222 0.673
0.470 0.470 0.480
0.744 0.744 0.186

Number 1: density of states at the Fermi level 0.69 states/eV/atom. Number 2: density of states at the Fermi level 0.44 states/eV/atom. Number 3: density of states at the Fermi level 0.64 states/eV/atom. Number 4: density of states at the Fermi level 0.71 states/eV/atom. Number 5: density of states at the Fermi level 1.26 states/eV/atom. Number 6: density of states at the Fermi level 0.89 states/eV/atom. Number 7: density of states at the Fermi level 1.06 states/eV/atom. Number 8: density of states at the Fermi level 0.00 states/eV/atom. Number 9: density of states at the Fermi level 0.27 states/eV/atom. Number 10: density of states at the Fermi level 0.89 states/eV/atom. Number 11: density of states at the Fermi level 0.25 states/eV/atom. Number 12: density of states at the Fermi level 0.53 states/eV/atom.